Material: MgTa2IrRh
Method: DFT, GGA-PBEsol
State: relaxed

Computed properties:
ΔE_f   1080.3 meV/atom
Density   10.30 Mg/m³
Magnetic moment   0.00 Bohr magnetons per cell
Calculated volume   21.961 Å³/atom

a = 4.7460 Å, b = 4.7460 Å, c = 4.8749 Å
α = 90.00°, β = 90.00°, γ = 90.00°
Closest atoms and distances in Å follow each position.
Element x y z (fractional)
Mg 0.5000 0.5000 0.5000  4 Rh 3.36, 8 Ta 3.40
Rh 0.0000 0.0000 0.5000  2 Ir 2.44
Ta 0.0000 0.5000 0.0000  2 Ir 2.37
Ir 0.0000 0.0000 0.0000  4 Ta 2.37, 2 Rh 2.44
Ta 0.5000 0.0000 0.0000  2 Ir 2.37

***

Material: MgSb2Ir
Method: DFT, GGA-PBEsol
State: relaxed

Computed properties:
Density   9.70 Mg/m³
Formation energy from raw total energies   81 meV per atom
Magnetic moment   0.00 Bohr magnetons per cell
Calculated volume   19.689 Å³/atom

a = 3.4057 Å, b = 4.8697 Å, c = 4.8697 Å
α = 102.80°, β = 90.00°, γ = 90.00°
Closest atoms and distances in Å follow each position.
Element x y z (fractional)
Sb 0.0000 0.5000 0.0000  4 Ir 2.97, 4 Mg 2.97, 2 Sb 3.04
Ir 0.5000 0.5000 0.5000  8 Sb 2.97, 2 Mg 3.04
Mg 0.5000 0.0000 0.0000  8 Sb 2.97, 2 Ir 3.04
Sb 0.0000 0.0000 0.5000  4 Mg 2.97, 4 Ir 2.97, 2 Sb 3.04

***

Material: MgSbIr3
Method: DFT, GGA-PBEsol
State: relaxed

Computed properties:
Density   13.18 Mg/m³
Formation energy from raw total energies   1496 meV per atom
Magnetic moment   0.00 Bohr magnetons per cell
Calculated volume   18.212 Å³/atom

a = 4.4989 Å, b = 4.4989 Å, c = 4.4989 Å
α = 90.00°, β = 90.00°, γ = 90.00°
Closest atoms and distances in Å follow each position.
Element x y z (fractional)
Mg 0.0000 0.0000 0.0000  6 Ir 2.25
Ir 0.5000 0.0000 0.0000  2 Mg 2.25
Sb 0.5000 0.5000 0.5000  12 Ir 3.18
Ir 0.0000 0.5000 0.0000  2 Mg 2.25
Ir 0.0000 0.0000 0.5000  2 Mg 2.25

***

Material: Mg2SbIr
Method: DFT, GGA-PBEsol
State: relaxed

Computed properties:
Density   7.32 Mg/m³
Formation energy from raw total energies   -263 meV per atom
Magnetic moment   0.00 Bohr magnetons per cell
Calculated volume   20.550 Å³/atom

a = 3.0244 Å, b = 4.4445 Å, c = 6.6799 Å
α = 109.43°, β = 103.08°, γ = 90.00°
Closest atoms and distances in Å follow each position.
Element x y z (fractional)
Mg 0.9326 0.9326 0.8651  2 Ir 2.74, 2 Mg 3.02
Mg 0.7558 0.2558 0.5116  4 Ir 2.69
Ir 0.2462 0.7462 0.4924  2 Sb 2.68, 6 Mg 2.69-2.74
Sb 0.5655 0.5655 0.1310  2 Ir 2.68

***

Material: MgSb2Ir
Method: DFT, GGA-PBEsol
State: relaxed

Computed properties:
Density   7.58 Mg/m³
Formation energy from raw total energies   -116 meV per atom
Magnetic moment   0.00 Bohr magnetons per cell
Calculated volume   25.180 Å³/atom

a = 4.1561 Å, b = 5.0843 Å, c = 5.4022 Å
α = 61.93°, β = 90.00°, γ = 90.00°
Closest atoms and distances in Å follow each position.
Element x y z (fractional)
Mg 0.5000 0.0000 0.0000  2 Ir 2.54
Ir 0.5000 0.5000 0.0000  2 Mg 2.54, 4 Sb 2.61
Sb 0.0000 0.3350 0.3300  2 Ir 2.61
Sb 0.0000 0.6650 0.6700  2 Ir 2.61

***

Material: MgSc2Ir
Method: DFT, GGA-PBEsol
State: relaxed

Computed properties:
ΔE_f   -343.2 meV/atom
Density   6.46 Mg/m³
Magnetic moment   0.47 Bohr magnetons per cell
Calculated volume   19.692 Å³/atom

a = 3.1557 Å, b = 3.1557 Å, c = 7.9094 Å
α = 90.00°, β = 90.00°, γ = 90.00°
Closest atoms and distances in Å follow each position.
Element x y z (fractional)
Sc 0.5000 0.5000 0.3111  4 Ir 2.68
Mg 0.5000 0.5000 0.7004  4 Ir 2.75
Sc 0.0000 0.0000 0.9905  8 Sc 3.16-3.38, 4 Mg 3.20
Ir 0.0000 0.0000 0.4979  4 Sc 2.68, 4 Mg 2.75